## a
Material: CoNi3Ir
Method: DFT, PBE
State: relaxed

Results
Its magnetic moment is 0.7522 μB per atom. Its density of states at the Fermi level is 7.4 states/eV/f.u.

Cell and atoms, written as POSCAR:
```
CoNi3Ir
1.0
-2.3086 0.3859 -3.3894
-3.2866 -2.7777 4.4298
-1.6327 4.5273 1.6275
Co Ni Ir
2 6 2
Direct
0.1904 0.3806 0.2500
0.8096 0.6194 0.7500
0.6257 0.2507 0.5009
0.3743 0.7493 0.4991
0.3743 0.7493 0.0009
0.6257 0.2507 0.9991
0.8099 0.6207 0.2500
0.1901 0.3793 0.7500
0.0000 0.0000 0.0000
0.0000 0.0000 0.5000
```

=====

## b
Material: CoNi3Ir
Method: DFT, PBE
State: relaxed

Results
Its magnetic moment is 0.9708 μB per atom. Its density of states at the Fermi level is 7.8 states/eV/f.u.

Cell and atoms, written as POSCAR:
```
CoNi3Ir
1.0
4.1619 0.0000 0.0000
0.0000 4.1619 0.0000
0.0000 0.0000 4.1619
Ni Ir Co
3 1 1
Direct
0.0000 0.5000 0.0000
0.0000 0.0000 0.5000
0.5000 0.0000 0.0000
0.5000 0.5000 0.5000
0.0000 0.0000 0.0000
```

=====

## c
Material: CoNi3Ir
Method: DFT, PBE
State: relaxed

Results
Its magnetic moment is 0.8717 μB per atom. Its density of states at the Fermi level is 5.9 states/eV/f.u.

Cell and atoms, written as POSCAR:
```
CoNi3Ir
1.0
2.5916 0.0000 -0.4065
0.0000 7.7629 0.0000
-0.3590 0.0000 6.1762
Co Ni Ir
2 6 2
Direct
0.9778 0.0087 0.9555
0.0222 0.5087 0.0445
0.8297 0.2118 0.6593
0.1703 0.7118 0.3407
0.5002 0.2587 0.0004
0.4998 0.7587 0.9996
0.8294 0.8061 0.6587
0.1706 0.3061 0.3413
0.3409 0.5090 0.6818
0.6591 0.0090 0.3182
```

=====

Which structure is most stable, and how do the rest compare? From most to least stable: a, c, b.